LaBe3Pt | GGA-PBE | relaxed

abc: 5.8663 6.2051 8.5281
angles: 90.00 96.31 90.00
With the nearest neighbours (Å) after each atom.
Sites, in units of the cell vectors:
1 La 0.1150 0.0853 0.3210  6 Be 2.93-3.17, 3 Pt 3.00-3.24
2 La 0.1150 0.4147 0.8210  6 Be 2.93-3.17, 3 Pt 3.00-3.24
3 La 0.8850 0.5853 0.1790  6 Be 2.93-3.17, 3 Pt 3.00-3.24
4 La 0.8850 0.9147 0.6790  6 Be 2.93-3.17, 3 Pt 3.00-3.24
5 Be 0.2050 0.5558 0.5006  3 Be 2.17-2.37
6 Be 0.2050 0.9442 0.0006  3 Be 2.17-2.37
7 Be 0.3734 0.6496 0.1484  2 Be 2.07-2.16
8 Be 0.3734 0.8504 0.6484  2 Be 2.07-2.16
9 Be 0.4552 0.0578 0.8496  4 Be 2.07-2.25, 1 Pt 2.24
10 Be 0.4552 0.4422 0.3496  4 Be 2.07-2.25, 1 Pt 2.24
11 Be 0.5448 0.5578 0.6504  4 Be 2.07-2.25, 1 Pt 2.24
12 Be 0.5448 0.9422 0.1504  4 Be 2.07-2.25, 1 Pt 2.24
13 Be 0.6266 0.1496 0.3516  2 Be 2.07-2.16
14 Be 0.6266 0.3504 0.8516  2 Be 2.07-2.16
15 Be 0.7950 0.0558 0.9994  3 Be 2.17-2.37
16 Be 0.7950 0.4442 0.4994  3 Be 2.17-2.37
17 Pt 0.4631 0.2123 0.5898  6 Be 2.24-2.49
18 Pt 0.4631 0.2877 0.0898  6 Be 2.24-2.49
19 Pt 0.5369 0.7123 0.9102  6 Be 2.24-2.49
20 Pt 0.5369 0.7877 0.4102  6 Be 2.24-2.49

The magnetic moment comes out at 0.000 μB per atom. For the density of states at the Fermi level, the calculation gives 0.20 states/eV/atom. The calculation puts the volume at 308.5 Å³/cell. For the distance to the lowest polymorph of the same formula, the calculation gives 0.1111 eV/atom. As for the space group: No. 14. For the formation energy, the calculation gives -0.380 eV/atom.